## 1
ReAsSe2N after structural relaxation, computed with PBE-GGA.

Unit cell a=4.761 b=4.761 c=4.875 alpha=90.00 beta=90.00 gamma=90.00
Sites, in units of the cell vectors:
Se: 0.000 0.500 0.000
Re: 0.000 0.000 0.000
As: 0.000 0.000 0.500
N: 0.500 0.500 0.500
Se: 0.500 0.000 0.000

Computed properties:
Crystal system: tetragonal

=====

## 2
ReAsSe2N after structural relaxation, computed with PBE-GGA.

Unit cell a=5.092 b=5.092 c=3.506 alpha=90.00 beta=90.00 gamma=90.00
Sites, in units of the cell vectors:
N: 0.000 0.000 0.500
Se: 0.500 0.000 0.000
As: 0.000 0.000 0.000
Re: 0.500 0.500 0.500
Se: 0.000 0.500 0.000

Computed properties:
Crystal system: tetragonal

=====

Result of the stability comparison: 1 is the least stable of them.

=====

## 1
ReAsSeN2 after structural relaxation, computed with PBE-GGA.

Unit cell a=3.854 b=3.854 c=5.513 alpha=90.00 beta=90.00 gamma=90.00
Sites, in units of the cell vectors:
Se: 0.000 0.000 0.500
N: 0.000 0.500 0.000
As: 0.500 0.500 0.500
N: 0.500 0.000 0.000
Re: 0.000 0.000 0.000

Computed properties:
Crystal system: tetragonal

=====

## 2
ReAsSeN2 after structural relaxation, computed with PBE-GGA.

Unit cell a=3.666 b=3.666 c=6.661 alpha=90.00 beta=90.00 gamma=90.00
Sites, in units of the cell vectors:
As: 0.000 0.000 0.000
Se: 0.000 0.000 0.500
N: 0.500 0.000 0.000
N: 0.000 0.500 0.000
Re: 0.500 0.500 0.500

Computed properties:
Crystal system: tetragonal

=====

Result of the stability comparison: 2 is the least stable of them.

=====

## 1
ReTe2AsN after structural relaxation, computed with PBE-GGA.

Unit cell a=5.232 b=4.670 c=5.232 alpha=90.00 beta=90.00 gamma=90.00
Sites, in units of the cell vectors:
Te: 0.500 0.000 0.000
As: 0.000 0.500 0.000
N: 0.500 0.500 0.500
Re: 0.000 0.000 0.000
Te: 0.000 0.000 0.500

Computed properties:
Crystal system: tetragonal

=====

## 2
ReTe2AsN after structural relaxation, computed with PBE-GGA.

Unit cell a=5.445 b=5.445 c=3.523 alpha=90.00 beta=90.00 gamma=90.00
Sites, in units of the cell vectors:
N: 0.000 0.000 0.500
As: 0.000 0.000 0.000
Te: 0.000 0.500 0.000
Re: 0.500 0.500 0.500
Te: 0.500 0.000 0.000

Computed properties:
Crystal system: tetragonal

=====

Result of the stability comparison: 1 is the least stable of them.

=====

## 1
As3RhN after structural relaxation, computed with PBE-GGA.

Unit cell a=4.253 b=4.253 c=4.253 alpha=90.00 beta=90.00 gamma=90.00
Sites, in units of the cell vectors:
As: 0.500 0.000 0.000
As: 0.000 0.000 0.500
N: 0.000 0.000 0.000
Rh: 0.500 0.500 0.500
As: 0.000 0.500 0.000

Computed properties:
Crystal system: cubic

=====

## 2
As3RhN after structural relaxation, computed with PBE-GGA.

Unit cell a=4.742 b=4.742 c=4.742 alpha=90.00 beta=90.00 gamma=90.00
Sites, in units of the cell vectors:
Rh: 0.000 0.000 0.000
N: 0.500 0.500 0.500
As: 0.000 0.500 0.000
As: 0.000 0.000 0.500
As: 0.500 0.000 0.000

Computed properties:
Crystal system: cubic

=====

Result of the stability comparison: 2 is the least stable of them.

=====

## 1
AsRhS2N after structural relaxation, computed with PBE-GGA.

Unit cell a=4.845 b=4.845 c=3.634 alpha=90.00 beta=90.00 gamma=90.00
Sites, in units of the cell vectors:
As: 0.500 0.500 0.500
Rh: 0.000 0.000 0.000
N: 0.000 0.000 0.500
S: 0.000 0.500 0.000
S: 0.500 0.000 0.000

Computed properties:
Crystal system: tetragonal

=====

## 2
AsRhS2N after structural relaxation, computed with PBE-GGA.

Unit cell a=4.796 b=4.796 c=3.470 alpha=90.00 beta=90.00 gamma=90.00
Sites, in units of the cell vectors:
S: 0.500 0.000 0.000
S: 0.000 0.500 0.000
Rh: 0.500 0.500 0.500
As: 0.000 0.000 0.000
N: 0.000 0.000 0.500

Computed properties:
Crystal system: tetragonal

=====

Result of the stability comparison: 2 is the least stable of them.

=====

## 1
AsRhSeN2 after structural relaxation, computed with PBE-GGA.

Unit cell a=3.828 b=3.828 c=5.447 alpha=90.00 beta=90.00 gamma=90.00
Sites, in units of the cell vectors:
N: 0.000 0.500 0.000
As: 0.500 0.500 0.500
Se: 0.000 0.000 0.500
N: 0.500 0.000 0.000
Rh: 0.000 0.000 0.000

Computed properties:
Crystal system: tetragonal

=====

## 2
AsRhSeN2 after structural relaxation, computed with PBE-GGA.

Unit cell a=3.590 b=3.590 c=7.321 alpha=90.00 beta=90.00 gamma=90.00
Sites, in units of the cell vectors:
As: 0.000 0.000 0.000
Se: 0.000 0.000 0.500
N: 0.500 0.000 0.000
N: 0.000 0.500 0.000
Rh: 0.500 0.500 0.500

Computed properties:
Crystal system: tetragonal

=====

Result of the stability comparison: 2 is the least stable of them.

=====

## 1
TeAsRhN2 after structural relaxation, computed with PBE-GGA.

Unit cell a=3.683 b=3.683 c=7.791 alpha=90.00 beta=90.00 gamma=90.00
Sites, in units of the cell vectors:
As: 0.000 0.000 0.000
Te: 0.000 0.000 0.500
Rh: 0.500 0.500 0.500
N: 0.500 0.000 0.000
N: 0.000 0.500 0.000

Computed properties:
Crystal system: tetragonal

=====

## 2
TeAsRhN2 after structural relaxation, computed with PBE-GGA.

Unit cell a=3.854 b=3.854 c=6.102 alpha=90.00 beta=90.00 gamma=90.00
Sites, in units of the cell vectors:
Rh: 0.000 0.000 0.000
As: 0.500 0.500 0.500
Te: 0.000 0.000 0.500
N: 0.500 0.000 0.000
N: 0.000 0.500 0.000

Computed properties:
Crystal system: tetragonal

=====

Result of the stability comparison: 1 is the least stable of them.

=====

## 1
AsRuSN2 after structural relaxation, computed with PBE-GGA.

Unit cell a=3.796 b=3.796 c=5.080 alpha=90.00 beta=90.00 gamma=90.00
Sites, in units of the cell vectors:
As: 0.500 0.500 0.500
N: 0.500 0.000 0.000
Ru: 0.000 0.000 0.000
N: 0.000 0.500 0.000
S: 0.000 0.000 0.500

Computed properties:
Crystal system: tetragonal

=====

## 2
AsRuSN2 after structural relaxation, computed with PBE-GGA.

Unit cell a=3.571 b=3.571 c=6.239 alpha=90.00 beta=90.00 gamma=90.00
Sites, in units of the cell vectors:
N: 0.500 0.000 0.000
Ru: 0.500 0.500 0.500
As: 0.000 0.000 0.000
N: 0.000 0.500 0.000
S: 0.000 0.000 0.500

Computed properties:
Crystal system: tetragonal

=====

Result of the stability comparison: 2 is the least stable of them.